Computed, not measured: a geometry-optimized Zn2WAu structure at the PBE level of DFT. Values from VASP.

V ... 64.0 Å³/cell
SG ... F-43m, No. 216
Energy of formation ... 496 meV per atom

```
&SYSTEM
  ibrav = 0, nat = 4, ntyp = 3
/
ATOMIC_SPECIES
Zn 65.41 Zn.upf
Au 196.97 Au.upf
W 183.84 W.upf
ATOMIC_POSITIONS crystal
Zn 0.2500 0.2500 0.2500
Zn 0.0000 0.0000 0.0000
Au 0.5000 0.5000 0.5000
W 0.7500 0.7500 0.7500
CELL_PARAMETERS angstrom
3.2150 -3.1321 0.1115
-0.5675 -3.8785 -2.1894
2.4132 -0.8721 -3.6843
```